Record 1
The following is a PBE-GGA calculation of crystalline MgIn2IO at its relaxed geometry, from Alexandria via LeMat-Bulk.

Density of states at the Fermi level = 1.51 states/eV per cell
Space-group type = P4/mmm, No. 123
Total DFT energy (no corrections) = -3.393 eV per atom
Formation energy (no corrections) = -0.68 eV per atom

The structure in CIF format:
```
data_MgIn2IO
_chemical_formula_sum 'Mg1 In2 I1 O1'
_space_group_name_H-M_alt 'P 1'
_space_group_IT_number 1
_space_group_name_Hall 'P 1'
_cell_length_a 5.9301
_cell_length_b 3.9292
_cell_length_c 5.9301
_cell_angle_alpha 90.00
_cell_angle_beta 90.00
_cell_angle_gamma 90.00
loop_
_atom_site_label
_atom_site_fract_x
_atom_site_fract_y
_atom_site_fract_z
_atom_site_occupancy
O1 0.0000 0.0000 0.0000 1
I1 0.5000 0.5000 0.5000 1
Mg1 0.0000 0.5000 0.0000 1
In1 0.0000 0.0000 0.5000 1
In2 0.5000 0.0000 0.0000 1
```


Record 2
The following is a PBE-GGA calculation of crystalline DyTmV at its relaxed geometry, from Alexandria via LeMat-Bulk.

Density of states at the Fermi level = 7.72 states/eV per cell
Space-group type = I4/mmm, No. 139
Total DFT energy (no corrections) = -5.829 eV per atom
E_form = 0.235 eV per atom

The structure in CIF format:
```
data_DyTmV
_chemical_formula_sum 'Dy2 Tm2 V2'
_space_group_name_H-M_alt 'P 1'
_space_group_IT_number 1
_space_group_name_Hall 'P 1'
_cell_length_a 3.2978
_cell_length_b 3.2978
_cell_length_c 14.0795
_cell_angle_alpha 96.73
_cell_angle_beta 96.73
_cell_angle_gamma 90.00
loop_
_atom_site_label
_atom_site_fract_x
_atom_site_fract_y
_atom_site_fract_z
_atom_site_occupancy
Tm1 0.8414 0.8414 0.6828 1
Dy1 0.4388 0.4388 0.8776 1
Dy2 0.5612 0.5612 0.1224 1
V1 0.7317 0.7317 0.4635 1
Tm2 0.1586 0.1586 0.3172 1
V2 0.2683 0.2683 0.5365 1
```


Record 3
The following is a PBE-GGA calculation of crystalline ReAs2Pt at its relaxed geometry, from Alexandria via LeMat-Bulk.

Density of states at the Fermi level = 2.36 states/eV per cell
Offset from the most stable computed form = 70 meV per atom
Space-group type = P4/mmm, No. 123
Total DFT energy (no corrections) = -6.784 eV per atom
E_form = 0.163 eV per atom

The structure in CIF format:
```
data_ReAs2Pt
_chemical_formula_sum 'Re1 As2 Pt1'
_space_group_name_H-M_alt 'P 1'
_space_group_IT_number 1
_space_group_name_Hall 'P 1'
_cell_length_a 3.1980
_cell_length_b 3.1977
_cell_length_c 6.1576
_cell_angle_alpha 90.00
_cell_angle_beta 90.00
_cell_angle_gamma 90.00
loop_
_atom_site_label
_atom_site_fract_x
_atom_site_fract_y
_atom_site_fract_z
_atom_site_occupancy
Re1 0.5000 0.5000 0.7500 1
As1 0.0000 0.0000 0.9871 1
As2 0.0000 0.0000 0.5129 1
Pt1 0.5000 0.5000 0.2500 1
```


Record 4
The following is a PBE-GGA calculation of crystalline HgW at its relaxed geometry, from Alexandria via LeMat-Bulk.

Density of states at the Fermi level = 3.63 states/eV per cell
Offset from the most stable computed form = 366 meV per atom
Space-group type = Cm, No. 8
Total DFT energy (no corrections) = -5.757 eV per atom
E_form = 0.870 eV per atom

The structure in CIF format:
```
data_HgW
_chemical_formula_sum 'Hg3 W3'
_space_group_name_H-M_alt 'P 1'
_space_group_IT_number 1
_space_group_name_Hall 'P 1'
_cell_length_a 5.9125
_cell_length_b 5.9125
_cell_length_c 7.0506
_cell_angle_alpha 76.52
_cell_angle_beta 76.52
_cell_angle_gamma 27.55
loop_
_atom_site_label
_atom_site_fract_x
_atom_site_fract_y
_atom_site_fract_z
_atom_site_occupancy
Hg1 0.6081 0.6081 0.2886 1
W1 0.9261 0.9261 0.6158 1
Hg2 0.0064 0.0064 0.9939 1
W2 0.2892 0.2892 0.9547 1
Hg3 0.6686 0.6686 0.6621 1
W3 0.3350 0.3350 0.3182 1
```


Record 5
The following is a PBE-GGA calculation of crystalline SrLa2W at its relaxed geometry, from Alexandria via LeMat-Bulk.

Density of states at the Fermi level = 5.05 states/eV per cell
Offset from the most stable computed form = 0 meV per atom
Space-group type = P2/m, No. 10
Total DFT energy (no corrections) = -5.664 eV per atom
E_form = 0.459 eV per atom

The structure in CIF format:
```
data_SrLa2W
_chemical_formula_sum 'Sr1 La2 W1'
_space_group_name_H-M_alt 'P 1'
_space_group_IT_number 1
_space_group_name_Hall 'P 1'
_cell_length_a 3.6469
_cell_length_b 3.6429
_cell_length_c 10.7130
_cell_angle_alpha 70.38
_cell_angle_beta 90.00
_cell_angle_gamma 90.00
loop_
_atom_site_label
_atom_site_fract_x
_atom_site_fract_y
_atom_site_fract_z
_atom_site_occupancy
Sr1 0.5000 0.2500 0.2500 1
La1 0.0000 0.0727 0.9255 1
W1 0.5000 0.7500 0.7500 1
La2 0.0000 0.4273 0.5745 1
```


Record 6
The following is a PBE-GGA calculation of crystalline HfHgTe at its relaxed geometry, from Alexandria via LeMat-Bulk.

Density of states at the Fermi level = 2.96 states/eV per cell
Offset from the most stable computed form = 0 meV per atom
Space-group type = P4/nmm, No. 129
Total DFT energy (no corrections) = -4.916 eV per atom
Formation energy (no corrections) = -0.45 eV per atom

The structure in CIF format:
```
data_HfHgTe
_chemical_formula_sum 'Hf2 Hg2 Te2'
_space_group_name_H-M_alt 'P 1'
_space_group_IT_number 1
_space_group_name_Hall 'P 1'
_cell_length_a 3.7042
_cell_length_b 3.7043
_cell_length_c 12.1900
_cell_angle_alpha 90.01
_cell_angle_beta 90.00
_cell_angle_gamma 90.01
loop_
_atom_site_label
_atom_site_fract_x
_atom_site_fract_y
_atom_site_fract_z
_atom_site_occupancy
Hg1 0.0627 0.6969 0.7064 1
Te1 0.0621 0.6963 0.1179 1
Hf1 0.5622 0.1963 0.2326 1
Hf2 0.0623 0.6965 0.3703 1
Te2 0.5623 0.1966 0.4851 1
Hg2 0.5619 0.1959 0.8965 1
```


Table of total magnetization (μB/cell), in record order: 0.00, 0.00, 0.00, 0.00, 0.00, 0.00